A relaxed structure of Zn2SiBr, computed with PBE.

## Properties
**VASP energy**: -9.40 eV for the cell shown
**Formation energy (no corrections)**: 6 kJ/mol of atoms
**D(E_F)**: 1.59 states/eV/f.u.
**Crystal system**: monoclinic
**Energy relative to the lowest polymorph listed for this composition**: 38 meV per atom
**Volume**: 22.16 A^3/atom

Cell lengths 7.1848, 7.1848, 3.9355 Å; angles 94.91, 94.91, 25.98 degrees
Closest atoms and distances in Å follow each position.
Atoms (fractional coordinates):
Zn1 0.0000 0.0000 0.0000  4 Si 2.62-2.63, 1 Br 2.69
Zn2 0.1833 0.1833 0.6667  2 Si 2.55, 2 Br 2.61
Si1 0.5456 0.5456 0.5117  6 Zn 2.55-2.63
Br1 0.8076 0.8076 0.9848  3 Zn 2.61-2.69



A relaxed structure of ZnSiBr, computed with PBE.

## Properties
**VASP energy**: -8.23 eV for the cell shown
**Formation energy (no corrections)**: 5 kJ/mol of atoms
**D(E_F)**: 0.64 states/eV/f.u.
**Crystal system**: tetragonal
**Energy relative to the lowest polymorph listed for this composition**: 0 meV per atom
**Volume**: 24.80 A^3/atom

Cell lengths 6.1331, 6.1331, 6.1331 Å; angles 145.31, 145.31, 49.88 degrees
Closest atoms and distances in Å follow each position.
Atoms (fractional coordinates):
Zn1 0.0000 0.0000 0.0000  4 Si 2.60
Si1 0.5263 0.5263 0.0000  1 Br 2.33, 4 Zn 2.60
Br1 0.7362 0.7362 0.0000  1 Si 2.33



A relaxed structure of Zn2SiBr, computed with PBE.

## Properties
**VASP energy**: -8.21 eV for the cell shown
**Formation energy (no corrections)**: 35 kJ/mol of atoms
**D(E_F)**: 1.44 states/eV/f.u.
**Crystal system**: orthorhombic
**Energy relative to the lowest polymorph listed for this composition**: 335 meV per atom
**Volume**: 20.60 A^3/atom

Cell lengths 6.2946, 6.2946, 6.2946 Å; angles 151.22, 136.37, 53.11 degrees
Closest atoms and distances in Å follow each position.
Atoms (fractional coordinates):
Zn1 0.2027 0.2027 0.0000  2 Si 2.77, 4 Zn 3.01
Zn2 0.7973 0.7973 0.0000  2 Si 2.77, 4 Zn 3.01
Si1 0.0000 0.5000 0.5000  4 Zn 2.77, 4 Br 2.81
Br1 0.5000 0.0000 0.5000  4 Si 2.81, 2 Br 3.13



> Which value of energy relative to the lowest polymorph listed for this composition does entry 3 give?

335 meV per atom



> Which value of D(E_F) does entry 3 give?

1.44 states/eV/f.u.



> volume of number 1 (Zn2SiBr)?

22.16 A^3/atom